(1)
Nd5ScCd4 | PBE | relaxed

```
10
Lattice="3.814 0.000 0.000 0.000 3.814 0.000 0.000 0.000 19.941" Properties=species:S:1:pos:R:3 pbc="T T T"
Nd 1.907 1.907 2.116
Nd 1.907 1.907 6.063
Nd 1.907 1.907 9.971
Nd 1.907 1.907 13.878
Nd 1.907 1.907 17.825
Sc 0.000 0.000 0.000
Cd 0.000 0.000 4.051
Cd 0.000 0.000 8.017
Cd 0.000 0.000 11.924
Cd 0.000 0.000 15.891
```

The density is 6.96 g/cm³. Its space group is P4/mmm (123).

***

(2)
YNiOs3 | PBE | relaxed

```
5
Lattice="4.517 0.000 0.000 0.000 4.517 0.000 0.000 0.000 4.517" Properties=species:S:1:pos:R:3 pbc="T T T"
Y 2.259 2.259 2.259
Ni 0.000 0.000 0.000
Os 0.000 2.259 0.000
Os 0.000 0.000 2.259
Os 2.259 0.000 0.000
```

The density is 12.94 g/cm³. Its space group is Pm-3m (221). Its offset from the most stable computed form is 0 kJ/mol of formula units.

***

(3)
HgPb2Au | PBE | relaxed

```
4
Lattice="-1.518 -4.949 1.052 -3.988 -0.884 3.349 -4.628 -1.786 -1.817" Properties=species:S:1:pos:R:3 pbc="T T T"
Pb -2.533 -1.905 0.646
Pb -7.600 -5.715 1.938
Au 0.000 0.000 0.000
Hg -5.067 -3.810 1.292
```

The density is 12.94 g/cm³. Its space group is Fm-3m (225). Its offset from the most stable computed form is 20 kJ/mol of formula units.

***

(4)
YHo2Th3Se6 | PBE | relaxed

```
12
Lattice="6.916 0.015 0.006 -3.443 5.998 0.006 -1.153 -1.996 7.218" Properties=species:S:1:pos:R:3 pbc="T T T"
Y 0.000 0.000 0.000
Ho 0.009 4.004 0.006
Ho 3.464 2.009 0.006
Th -2.302 4.008 3.614
Th 4.622 0.009 3.614
Th 1.160 2.009 3.614
Se 3.473 2.005 5.548
Se 2.310 4.000 1.680
Se -1.152 2.012 1.681
Se 0.001 4.010 5.548
Se 0.010 0.017 5.549
Se 2.319 0.008 1.681
```

The density is 8.80 g/cm³. Its space group is C2/m (12). For the formation energy from raw total energies, the calculation gives -1632 meV per atom.

***

(5)
HoScNi | PBE | relaxed

```
3
Lattice="3.307 0.000 0.000 0.000 3.307 0.000 -1.653 -1.653 5.835" Properties=species:S:1:pos:R:3 pbc="T T T"
Sc 0.000 0.000 3.446
Ni 1.653 1.653 2.064
Ho 0.000 0.000 0.324
```

The density is 6.99 g/cm³. Its space group is I4mm (107). Its offset from the most stable computed form is 17 kJ/mol of formula units.

***

(6)
Cs3Ga5Hg12 | PBE | relaxed

```
80
Lattice="-14.631 -4.542 3.502 9.096 -12.669 -1.937 5.698 8.799 11.708" Properties=species:S:1:pos:R:3 pbc="T T T"
Cs -6.850 -7.057 3.364
Cs -5.269 -12.376 3.076
Cs 4.896 -5.705 7.179
Cs -0.384 0.581 5.024
Cs -10.241 -3.358 5.750
Cs 1.622 -7.421 3.030
Cs -1.460 -0.990 10.244
Cs 10.403 -5.053 7.524
Cs 0.546 -8.992 8.250
Cs -4.734 -2.706 6.095
Cs 5.431 3.964 10.198
Cs 7.012 -1.354 9.910
Ga 3.006 -3.119 2.639
Ga 4.548 -6.334 -0.968
Ga 0.000 0.000 0.000
Ga -2.501 -3.770 2.293
Ga -4.467 2.129 7.605
Ga -2.768 -8.605 0.783
Ga 7.129 -6.769 3.376
Ga -4.851 2.709 12.629
Ga -3.152 -8.025 5.807
Ga -0.076 3.313 9.852
Ga 0.238 -11.724 3.421
Ga 0.081 -4.206 6.637
Ga -7.316 -2.271 1.751
Ga 2.849 4.400 5.854
Ga 3.314 -0.387 7.467
Ga 5.013 -11.121 0.645
Ga 7.397 -1.935 4.886
Ga -6.967 -1.642 9.898
Ga 2.663 -4.641 10.981
Ga -2.844 -5.293 10.635
Hg -3.866 4.944 13.760
Hg 2.382 -3.671 5.197
Hg 5.670 -2.958 2.981
Hg -5.155 -3.992 1.912
Hg 0.929 -5.301 9.032
Hg 5.998 -5.558 1.256
Hg 5.156 -8.542 3.829
Hg 7.220 -10.929 -0.883
Hg -4.169 3.300 10.094
Hg -3.073 -9.306 3.442
Hg -4.757 -6.345 7.165
Hg 2.298 -6.834 12.497
Hg 8.182 -4.558 4.491
Hg -1.944 -6.403 2.240
Hg 9.182 -8.420 3.927
Hg -1.769 2.689 7.856
Hg 0.913 -1.505 2.135
Hg -0.883 -10.573 1.263
Hg -1.994 -11.856 4.917
Hg 3.060 -4.340 0.242
Hg -1.739 4.955 11.187
Hg -1.195 -6.253 5.283
Hg -3.584 -10.195 7.338
Hg -4.311 0.076 12.506
Hg 1.357 -2.158 7.991
Hg 3.746 1.784 5.936
Hg 4.473 -8.487 0.768
Hg 2.156 3.445 8.357
Hg 1.901 -13.366 2.087
Hg -2.898 -4.071 13.032
Hg 1.045 2.162 12.011
Hg 1.931 -11.100 5.418
Hg -0.751 -6.906 11.139
Hg -9.020 0.009 9.347
Hg -8.020 -3.853 8.783
Hg -2.136 -1.577 0.777
Hg 2.106 -2.009 11.034
Hg 4.331 -11.711 3.180
Hg 3.235 0.894 9.832
Hg 4.919 -2.067 6.109
Hg -7.058 2.518 14.157
Hg -4.994 0.131 9.445
Hg 5.317 -4.420 11.362
Hg -5.836 -2.853 12.018
Hg -0.767 -3.110 4.242
Hg -5.508 -5.453 10.293
Hg -2.220 -4.740 8.077
Hg 4.028 -13.355 -0.486
```

The density is 7.01 g/cm³. Its space group is Ia-3d (230).

***

(7)
AgH4Pd2 | PBE | relaxed

```
14
Lattice="-1.233 4.100 -3.828 -3.648 -3.627 -2.553 -0.536 1.081 5.538" Properties=species:S:1:pos:R:3 pbc="T T T"
Ag -3.314 -1.161 -0.102
Ag -3.646 -3.621 -2.554
H -1.749 3.270 -2.062
H -2.796 -0.325 -1.868
H -3.518 2.249 -0.804
H -1.966 3.731 0.321
H -1.187 1.585 -0.414
H -1.564 1.777 2.413
H -3.116 0.296 1.287
H -3.359 1.360 -3.516
Pd -2.541 2.013 0.804
Pd -4.097 -0.341 -3.241
Pd -2.273 1.473 -1.965
Pd -1.924 -0.037 2.718
```

The density is 8.15 g/cm³. Its space group is C2/c (15). Its offset from the most stable computed form is 0 kJ/mol of formula units.

***

(8)
Tb7Pr3Er | PBE | relaxed

```
11
Lattice="0.512 -5.097 -2.187 8.632 -1.395 5.270 -6.091 2.968 5.832" Properties=species:S:1:pos:R:3 pbc="T T T"
Tb 2.115 -3.081 7.659
Tb 4.386 -4.303 3.962
Tb 2.357 -3.455 1.514
Tb 0.696 -0.069 7.402
Tb -2.790 -1.065 1.823
Tb -1.334 0.778 4.954
Tb 0.938 -0.444 1.257
Pr -4.591 0.875 3.976
Pr 4.316 -0.698 2.635
Pr 7.643 -4.400 4.940
Er 1.526 -1.762 4.458
```

The density is 7.63 g/cm³. Its space group is P2/m (10). Its offset from the most stable computed form is 0 kJ/mol of formula units.

***

Electronic total energy values, unit eV per atom, following the record order: -3.61, -8.04, -2.74, -6.53, -5.83, -1.10, -3.79, -4.53.